# 1
## Mg2PaInO6 (PBE)

Data for a relaxed Mg2PaInO6 crystal.

## Properties
- Volume: 378.7 Å³/cell
- Raw formation energy: -2.694 eV per atom
- E: -7.21 eV per atom
- Fermi-level density of states: 0.0 states/eV/f.u.

The structure in CIF format:
```
data_Mg2PaInO6
_cell_length_a 5.4669
_cell_length_b 5.4669
_cell_length_c 14.6330
_cell_angle_alpha 90.00
_cell_angle_beta 90.00
_cell_angle_gamma 120.00
_symmetry_space_group_name_H-M 'R 3'
_symmetry_Int_Tables_number 146
_symmetry_space_group_name_Hall 'R 3'
loop_
_atom_site_label
_atom_site_fract_x
_atom_site_fract_y
_atom_site_fract_z
Mg1 0.0000 0.0000 0.0000
Mg2 0.0000 0.0000 0.4979
Pa1 0.0000 0.0000 0.7086
In1 0.0000 0.0000 0.2099
O1 0.0119 0.3048 0.6057
O2 0.0152 0.7067 0.1037
```

---

# 2
## MgInPb2O (PBE)

Data for a relaxed MgInPb2O crystal.

## Properties
- Volume: 174.1 Å³/cell
- Raw formation energy: 0.768 eV per atom
- E: -2.57 eV per atom
- Fermi-level density of states: 3.9 states/eV/f.u.

The structure in CIF format:
```
data_MgInPb2O
_cell_length_a 5.759
_cell_length_b 5.759
_cell_length_c 5.249
_cell_angle_alpha 90.00
_cell_angle_beta 90.00
_cell_angle_gamma 90.00
_symmetry_space_group_name_H-M 'P 4/m m m'
_symmetry_Int_Tables_number 123
_symmetry_space_group_name_Hall '-P 4 2'
loop_
_atom_site_label
_atom_site_fract_x
_atom_site_fract_y
_atom_site_fract_z
Mg1 0.000 0.000 0.000
In1 0.000 0.000 0.500
Pb1 0.000 0.500 0.500
O1 0.500 0.500 0.000
```

---

# 3
## MgInPb2O6 (PBE)

Data for a relaxed MgInPb2O6 crystal.

## Properties
- Volume: 411.7 Å³/cell
- Raw formation energy: -1.393 eV per atom
- E: -5.54 eV per atom
- Fermi-level density of states: 2.8 states/eV/f.u.

The structure in CIF format:
```
data_MgInPb2O6
_cell_length_a 5.6362
_cell_length_b 5.6362
_cell_length_c 14.9670
_cell_angle_alpha 90.00
_cell_angle_beta 90.00
_cell_angle_gamma 120.00
_symmetry_space_group_name_H-M 'R 3'
_symmetry_Int_Tables_number 146
_symmetry_space_group_name_Hall 'R 3'
loop_
_atom_site_label
_atom_site_fract_x
_atom_site_fract_y
_atom_site_fract_z
Mg1 0.0000 0.0000 0.0000
In1 0.0000 0.0000 0.5036
Pb1 0.0000 0.0000 0.2907
Pb2 0.0000 0.0000 0.7837
O1 0.0449 0.6796 0.5681
O2 0.0544 0.3570 0.0648
```